Record 1
Density functional theory data (PBE-GGA) for crystalline Rb3InRh at its relaxed geometry.

Output
As for the density: 3.4 g cm⁻³. The value obtained for the total energy is -1.993 eV per atom. The crystal system is cubic. The value obtained for the total moment is 0.0 μB/f.u. As for the formation energy: 0.6059 eV per atom. The space group is No. 221. The value obtained for the offset from the most stable computed form is 0.000 eV/atom.

abc: 6.135 6.135 6.135
angles: 90.00 90.00 90.00
Sites, in units of the cell vectors:
Rb  0.000  0.000  0.500
Rb  0.500  0.000  0.000
Rb  0.000  0.500  0.000
Rh  0.000  0.000  0.000
In  0.500  0.500  0.500

=====

Record 2
Density functional theory data (PBE-GGA) for crystalline BeCo3Ni12 at its relaxed geometry.

Output
As for the density: 8.6 g cm⁻³. The value obtained for the total energy is -5.937 eV per atom. The crystal system is tetragonal. The value obtained for the total moment is 12.7 μB/f.u. As for the formation energy: -0.0362 eV per atom. The space group is No. 123.

abc: 3.504 3.504 13.953
angles: 90.00 90.00 90.00
Sites, in units of the cell vectors:
Ni  0.500  0.000  0.880
Ni  0.000  0.500  0.880
Ni  0.000  0.500  0.120
Ni  0.500  0.500  0.500
Ni  0.000  0.500  0.627
Ni  0.000  0.500  0.373
Ni  0.500  0.000  0.120
Ni  0.500  0.500  0.753
Ni  0.500  0.000  0.627
Ni  0.500  0.500  0.247
Ni  0.500  0.000  0.373
Ni  0.500  0.500  0.000
Co  0.000  0.000  0.755
Co  0.000  0.000  0.245
Co  0.000  0.000  0.500
Be  0.000  0.000  0.000

=====

Record 3
Density functional theory data (PBE-GGA) for crystalline SmDyPd6 at its relaxed geometry.

Output
As for the density: 11.1 g cm⁻³. The value obtained for the total energy is -5.899 eV per atom. The crystal system is tetragonal. The value obtained for the total moment is 0.0 μB/f.u. As for the formation energy: -0.8390 eV per atom. The space group is No. 123.

abc: 4.151 4.151 8.288
angles: 90.00 90.00 90.00
Sites, in units of the cell vectors:
Pd  0.000  0.500  0.746
Pd  0.500  0.500  0.000
Pd  0.000  0.500  0.254
Pd  0.500  0.000  0.746
Pd  0.500  0.000  0.254
Pd  0.500  0.500  0.500
Dy  0.000  0.000  0.500
Sm  0.000  0.000  0.000

=====

Record 4
Density functional theory data (PBE-GGA) for crystalline VZn2Ga at its relaxed geometry.

Output
As for the density: 6.9 g cm⁻³. The value obtained for the total energy is -3.620 eV per atom. The crystal system is tetragonal. The value obtained for the total moment is 0.0 μB/f.u. As for the formation energy: 0.0531 eV per atom. The space group is No. 123.

abc: 2.671 2.671 8.494
angles: 90.00 90.00 90.00
Sites, in units of the cell vectors:
Zn  0.000  0.000  0.230
Zn  0.000  0.000  0.770
V  0.500  0.500  0.000
Ga  0.500  0.500  0.500